No. 1
GGA-PBE Cd2AsH, relaxed; N(E_F) = 0.378 states/eV/cell; V = 24.6 Å³/atom; VASP energy = -2.392 eV/atom
1.0
-2.699 -0.161 3.301
-4.182 -0.496 -0.686
-1.601 -6.416 1.135
Cd H As
2 1 1
direct
0.901 0.901 0.297 Cd
0.099 0.099 0.703 Cd
0.000 0.000 0.000 H
0.500 0.500 0.500 As


No. 2
GGA-PBE CdAsH2, relaxed; N(E_F) = 2.201 states/eV/cell; V = 16.4 Å³/atom; VASP energy = -2.645 eV/atom
1.0
5.725 0.000 0.000
0.000 5.725 0.000
2.863 2.863 4.008
As H Cd
2 4 2
direct
0.250 0.750 0.500 As
0.500 0.500 0.000 As
0.375 0.125 0.250 H
0.375 0.625 0.750 H
0.875 0.625 0.750 H
0.375 0.625 0.250 H
0.000 0.000 0.000 Cd
0.750 0.250 0.500 Cd


- Which of these has the highest VASP energy?
  Cd2AsH


Copy entry 2 word for word.
GGA-PBE CdAsH2, relaxed; N(E_F) = 2.201 states/eV/cell; V = 16.4 Å³/atom; VASP energy = -2.645 eV/atom
1.0
5.725 0.000 0.000
0.000 5.725 0.000
2.863 2.863 4.008
As H Cd
2 4 2
direct
0.250 0.750 0.500 As
0.500 0.500 0.000 As
0.375 0.125 0.250 H
0.375 0.625 0.750 H
0.875 0.625 0.750 H
0.375 0.625 0.250 H
0.000 0.000 0.000 Cd
0.750 0.250 0.500 Cd


- What is the VASP energy in the second record?
  -2.645 eV/atom